1.
{"formula": "ZnGa2Cu6", "functional": "PBE", "state": "optimized geometry", "dos_at_fermi_per_ev_fu": 1.6, "magnetic_moment_mub_per_cell": 0.0, "vol_a3_per_cell": 116.37, "formation_energy_mev_per_atom": -80, "cell": [[-3.468, -0.333, -1.663], [-3.015, -5.329, 2.872], [-4.270, -0.249, 4.472]], "species": ["Cu", "Cu", "Cu", "Cu", "Cu", "Cu", "Ga", "Ga", "Zn"], "frac_coords": [[0.278, 0.828, 0.616], [0.941, 0.841, 0.276], [0.159, 0.507, 0.175], [0.059, 0.159, 0.724], [0.841, 0.493, 0.825], [0.722, 0.172, 0.384], [0.624, 0.829, 0.923], [0.376, 0.171, 0.077], [0.500, 0.500, 0.500]]}

***

2.
{"formula": "CaSiPb", "functional": "PBE", "state": "optimized geometry", "dos_at_fermi_per_ev_fu": 2.0, "raw_formation_energy_ev_per_atom": -0.05, "magnetic_moment_mub_per_cell": 0.0, "vol_a3_per_cell": 77.76, "relative_energy_ev_per_atom": 0.283, "cell": [[6.059, 0.026, 0.000], [3.678, 4.815, 0.000], [-4.869, -2.421, 2.674]], "species": ["Pb", "Si", "Ca"], "frac_coords": [[0.304, 0.304, 0.000], [0.688, 0.688, 0.000], [0.008, 0.008, 0.000]]}

***

3.
{"formula": "K2YAlC", "functional": "PBE", "state": "optimized geometry", "dos_at_fermi_per_ev_fu": 6.6, "magnetic_moment_mub_per_cell": 1.4, "vol_a3_per_cell": 299.75, "formation_energy_mev_per_atom": 2018, "cell": [[7.414, 0.000, 0.000], [0.000, 5.454, 0.000], [0.000, 0.000, 7.414]], "species": ["Al", "K", "K", "Y", "C"], "frac_coords": [[0.000, 0.500, 0.000], [0.500, 0.000, 0.000], [0.000, 0.000, 0.500], [0.000, 0.000, 0.000], [0.500, 0.500, 0.500]]}

***

4.
{"formula": "SrYb3", "functional": "PBE", "state": "optimized geometry", "dos_at_fermi_per_ev_fu": 44.6, "magnetic_moment_mub_per_cell": 0.9, "vol_a3_per_cell": 325.79, "formation_energy_mev_per_atom": -56, "cell": [[7.721, 0.000, 0.000], [-3.860, 6.686, 0.000], [0.000, 0.000, 6.311]], "species": ["Yb", "Yb", "Yb", "Yb", "Yb", "Yb", "Sr", "Sr"], "frac_coords": [[0.163, 0.837, 0.250], [0.837, 0.674, 0.750], [0.674, 0.837, 0.250], [0.837, 0.163, 0.750], [0.326, 0.163, 0.750], [0.163, 0.326, 0.250], [0.667, 0.333, 0.250], [0.333, 0.667, 0.750]]}

***

5.
{"formula": "LiIrCl4", "functional": "PBE", "state": "optimized geometry", "dos_at_fermi_per_ev_fu": 9.0, "raw_formation_energy_ev_per_atom": 0.94, "magnetic_moment_mub_per_cell": 4.1, "vol_a3_per_cell": 143.04, "cell": [[0.000, 4.151, 4.151], [4.151, 0.000, 4.151], [4.151, 4.151, 0.000]], "species": ["Cl", "Cl", "Cl", "Cl", "Ir", "Li"], "frac_coords": [[0.376, 0.376, 0.376], [0.376, 0.376, 0.872], [0.376, 0.872, 0.376], [0.872, 0.376, 0.376], [0.750, 0.750, 0.750], [0.000, 0.000, 0.000]]}

***

6.
{"formula": "SrCuC2O6", "functional": "PBE", "state": "optimized geometry", "dos_at_fermi_per_ev_fu": 6.8, "raw_formation_energy_ev_per_atom": -1.59, "magnetic_moment_mub_per_cell": 1.0, "vol_a3_per_cell": 119.38, "cell": [[4.953, 0.000, 0.000], [2.477, 4.290, 0.000], [2.477, 1.430, 5.618]], "species": ["O", "O", "O", "O", "O", "O", "C", "C", "Sr", "Cu"], "frac_coords": [[0.522, 0.714, 0.722], [0.041, 0.522, 0.722], [0.959, 0.478, 0.278], [0.714, 0.041, 0.722], [0.286, 0.959, 0.278], [0.478, 0.286, 0.278], [0.239, 0.239, 0.284], [0.761, 0.761, 0.716], [0.000, 0.000, 0.000], [0.500, 0.500, 0.500]]}

***

7.
{"formula": "TbHoErCd", "functional": "PBE", "state": "optimized geometry", "dos_at_fermi_per_ev_fu": 5.2, "magnetic_moment_mub_per_cell": 0.0, "vol_a3_per_cell": 112.60, "relative_energy_ev_per_atom": 0.128, "formation_energy_mev_per_atom": -14, "cell": [[-5.345, 0.641, 0.634], [-3.152, -4.306, 0.949], [-2.251, -0.687, 4.882]], "species": ["Ho", "Er", "Tb", "Cd"], "frac_coords": [[0.750, 0.750, 0.750], [0.000, 0.000, 0.000], [0.500, 0.500, 0.500], [0.250, 0.250, 0.250]]}

***

8.
{"formula": "ZrTa2Ga", "functional": "PBE", "state": "optimized geometry", "dos_at_fermi_per_ev_fu": 4.0, "magnetic_moment_mub_per_cell": 0.0, "vol_a3_per_cell": 152.78, "formation_energy_mev_per_atom": -259, "cell": [[3.631, 0.000, 0.000], [0.000, 4.141, -0.823], [0.000, -0.118, 10.186]], "species": ["Ta", "Ta", "Ta", "Ta", "Ga", "Ga", "Zr", "Zr"], "frac_coords": [[0.250, 0.944, 0.886], [0.250, 0.560, 0.121], [0.750, 0.056, 0.114], [0.750, 0.440, 0.879], [0.750, 0.838, 0.675], [0.250, 0.162, 0.325], [0.250, 0.305, 0.610], [0.750, 0.695, 0.390]]}